Crystalline La6Sb2TePb3 at its relaxed geometry. Source: Alexandria via LeMat-Bulk, functional GGA-PBE.

Calculated values
ΔE_f (raw) = -949 meV per atom

Cell: 10.536 10.536 9.536 Å, 106.16 106.16 24.87°
Element x y z (fractional)
La: 0.002 0.002 0.250
La: 0.331 0.331 0.422
La: 0.334 0.334 0.909
La: 0.666 0.666 0.091
La: 0.669 0.669 0.578
La: 0.998 0.998 0.750
Sb: 0.166 0.166 0.333
Sb: 0.834 0.834 0.667
Te: 0.500 0.500 0.000
Pb: 0.166 0.166 0.835
Pb: 0.500 0.500 0.500
Pb: 0.834 0.834 0.165

***

Crystalline Li2SnBI at its relaxed geometry. Source: Alexandria via LeMat-Bulk, functional GGA-PBE.

Calculated values
ΔE_f (raw) = 643 meV per atom

Cell: 4.699 4.699 4.918 Å, 90.00 90.00 90.00°
Element x y z (fractional)
Li: 0.000 0.500 0.000
Li: 0.500 0.000 0.000
Sn: 0.000 0.000 0.500
B: 0.500 0.500 0.000
I: 0.500 0.500 0.500

***

Crystalline Nd2CdSn2Rh5 at its relaxed geometry. Source: Alexandria via LeMat-Bulk, functional GGA-PBE.

Calculated values
energy relative to the elements = -0.4781 eV/atom

Cell: 10.288 10.288 3.764 Å, 90.00 90.00 90.00°
Element x y z (fractional)
Nd: 0.172 0.328 0.000
Nd: 0.328 0.828 0.000
Nd: 0.672 0.172 0.000
Nd: 0.828 0.672 0.000
Cd: 0.000 0.000 0.000
Cd: 0.500 0.500 0.000
Sn: 0.127 0.627 0.000
Sn: 0.373 0.127 0.000
Sn: 0.627 0.873 0.000
Sn: 0.873 0.373 0.000
Rh: 0.000 0.500 0.500
Rh: 0.061 0.796 0.500
Rh: 0.204 0.061 0.500
Rh: 0.296 0.561 0.500
Rh: 0.439 0.296 0.500
Rh: 0.500 0.000 0.500
Rh: 0.561 0.704 0.500
Rh: 0.704 0.439 0.500
Rh: 0.796 0.939 0.500
Rh: 0.939 0.204 0.500

***

Crystalline Ce3Pm2HoP6 at its relaxed geometry. Source: Alexandria via LeMat-Bulk, functional GGA-PBE.

Calculated values
energy relative to the elements = -1.5426 eV/atom

Cell: 7.078 7.078 7.069 Å, 99.61 99.61 120.01°
Element x y z (fractional)
Ce: 0.000 0.000 0.000
Ce: 0.332 0.668 0.000
Ce: 0.668 0.332 0.000
Pm: 0.166 0.834 0.500
Pm: 0.834 0.166 0.500
Ho: 0.500 0.500 0.500
P: 0.088 0.416 0.248
P: 0.256 0.256 0.753
P: 0.416 0.088 0.248
P: 0.584 0.912 0.752
P: 0.744 0.744 0.247
P: 0.912 0.584 0.752

***

Crystalline BiWBr2 at its relaxed geometry. Source: Alexandria via LeMat-Bulk, functional GGA-PBE.

Calculated values
ΔE_f (raw) = 500 meV per atom

Cell: 7.079 7.079 7.079 Å, 98.44 98.44 134.94°
Element x y z (fractional)
Bi: 0.000 0.000 0.000
Bi: 0.750 0.250 0.500
W: 0.250 0.750 0.500
W: 0.500 0.500 0.000
Br: 0.253 0.625 0.128
Br: 0.375 0.503 0.628
Br: 0.497 0.125 0.872
Br: 0.875 0.747 0.372

***

Crystalline YThCuMo at its relaxed geometry. Source: Alexandria via LeMat-Bulk, functional GGA-PBE.

Calculated values
energy relative to the elements = 0.1031 eV/atom

Cell: 5.002 5.002 5.002 Å, 60.00 60.00 60.00°
Element x y z (fractional)
Y: 0.000 0.000 0.000
Th: 0.500 0.500 0.500
Cu: 0.750 0.750 0.750
Mo: 0.250 0.250 0.250

***

Crystalline RbNi3Sn at its relaxed geometry. Source: Alexandria via LeMat-Bulk, functional GGA-PBE.

Calculated values
energy relative to the elements = 0.7494 eV/atom

Cell: 4.920 4.920 4.920 Å, 90.00 90.00 90.00°
Element x y z (fractional)
Rb: 0.000 0.000 0.000
Ni: 0.000 0.500 0.500
Ni: 0.500 0.000 0.500
Ni: 0.500 0.500 0.000
Sn: 0.500 0.500 0.500

***

Crystalline Dy6In3Co at its relaxed geometry. Source: Alexandria via LeMat-Bulk, functional GGA-PBE.

Calculated values
energy relative to the elements = -0.2726 eV/atom

Cell: 9.136 11.302 5.157 Å, 90.00 90.00 90.00°
Element x y z (fractional)
Dy: 0.019 0.227 0.000
Dy: 0.157 0.073 0.500
Dy: 0.191 0.409 0.500
Dy: 0.309 0.909 0.000
Dy: 0.343 0.573 0.000
Dy: 0.481 0.727 0.500
Dy: 0.519 0.273 0.500
Dy: 0.657 0.427 0.000
Dy: 0.691 0.091 0.000
Dy: 0.809 0.591 0.500
Dy: 0.843 0.927 0.500
Dy: 0.981 0.773 0.000
In: 0.000 0.500 0.000
In: 0.148 0.722 0.500
In: 0.352 0.222 0.000
In: 0.500 0.000 0.500
In: 0.648 0.778 0.000
In: 0.852 0.278 0.500
Co: 0.000 0.000 0.000
Co: 0.500 0.500 0.500

***

Crystalline TcCCl2 at its relaxed geometry. Source: Alexandria via LeMat-Bulk, functional GGA-PBE.

Calculated values
ΔE_f (raw) = 1812 meV per atom

Cell: 4.270 4.270 4.270 Å, 60.00 60.00 60.00°
Element x y z (fractional)
Tc: 0.000 0.000 0.000
C: 0.500 0.500 0.500
Cl: 0.250 0.250 0.250
Cl: 0.750 0.750 0.750

***

Crystalline NaLi3Zr at its relaxed geometry. Source: Alexandria via LeMat-Bulk, functional GGA-PBE.

Calculated values
energy relative to the elements = 0.7357 eV/atom

Cell: 4.828 4.828 4.828 Å, 90.00 90.00 90.00°
Element x y z (fractional)
Na: 0.000 0.000 0.000
Li: 0.000 0.000 0.500
Li: 0.000 0.500 0.000
Li: 0.500 0.000 0.000
Zr: 0.500 0.500 0.500

***

Crystalline Sm2SnGe at its relaxed geometry. Source: Alexandria via LeMat-Bulk, functional GGA-PBE.

Calculated values
energy relative to the elements = -0.6293 eV/atom

Cell: 7.891 7.891 7.891 Å, 31.25 31.25 31.25°
Element x y z (fractional)
Sm: 0.240 0.240 0.240
Sm: 0.760 0.760 0.760
Sn: 0.000 0.000 0.000
Ge: 0.500 0.500 0.500

***

Crystalline ErAl2Zn10 at its relaxed geometry. Source: Alexandria via LeMat-Bulk, functional GGA-PBE.

Calculated values
energy relative to the elements = -0.1348 eV/atom

Cell: 6.873 6.873 8.969 Å, 90.00 90.00 99.91°
Element x y z (fractional)
Er: 0.134 0.866 0.750
Er: 0.866 0.134 0.250
Al: 0.000 0.500 0.000
Al: 0.000 0.500 0.500
Al: 0.500 0.000 0.000
Al: 0.500 0.000 0.500
Zn: 0.145 0.388 0.750
Zn: 0.149 0.851 0.104
Zn: 0.149 0.851 0.396
Zn: 0.222 0.222 0.000
Zn: 0.222 0.222 0.500
Zn: 0.229 0.479 0.250
Zn: 0.388 0.145 0.250
Zn: 0.388 0.612 0.562
Zn: 0.388 0.612 0.938
Zn: 0.479 0.229 0.750
Zn: 0.521 0.771 0.250
Zn: 0.612 0.388 0.062
Zn: 0.612 0.388 0.438
Zn: 0.612 0.855 0.750
Zn: 0.771 0.521 0.750
Zn: 0.778 0.778 0.000
Zn: 0.778 0.778 0.500
Zn: 0.851 0.149 0.604
Zn: 0.851 0.149 0.896
Zn: 0.855 0.612 0.250

***

Crystalline LiCoTeI2 at its relaxed geometry. Source: Alexandria via LeMat-Bulk, functional GGA-PBE.

Calculated values
ΔE_f (raw) = -29 meV per atom

Cell: 5.612 5.612 4.853 Å, 90.00 90.00 90.00°
Element x y z (fractional)
Li: 0.000 0.000 0.000
Co: 0.500 0.500 0.500
Te: 0.500 0.500 0.000
I: 0.000 0.500 0.500
I: 0.500 0.000 0.500

***

Crystalline Sr2PaH12Rh3 at its relaxed geometry. Source: Alexandria via LeMat-Bulk, functional GGA-PBE.

Cell: 6.115 6.115 6.115 Å, 69.92 69.92 69.92°
Element x y z (fractional)
Sr: 0.123 0.123 0.123
Sr: 0.877 0.877 0.877
Pa: 0.500 0.500 0.500
H: 0.102 0.633 0.633
H: 0.224 0.224 0.590
H: 0.224 0.590 0.224
H: 0.367 0.367 0.898
H: 0.367 0.898 0.367
H: 0.410 0.776 0.776
H: 0.590 0.224 0.224
H: 0.633 0.102 0.633
H: 0.633 0.633 0.102
H: 0.776 0.410 0.776
H: 0.776 0.776 0.410
H: 0.898 0.367 0.367
Rh: 0.000 0.500 0.500
Rh: 0.500 0.000 0.500
Rh: 0.500 0.500 0.000

***

Crystalline Sm2YCdN at its relaxed geometry. Source: Alexandria via LeMat-Bulk, functional GGA-PBE.

Calculated values
ΔE_f (raw) = -790 meV per atom

Cell: 4.985 4.985 4.810 Å, 90.00 90.00 90.00°
Element x y z (fractional)
Sm: 0.000 0.500 0.000
Sm: 0.500 0.000 0.000
Y: 0.000 0.000 0.500
Cd: 0.500 0.500 0.500
N: 0.000 0.000 0.000

***

Number 1: raw total energy -63.464 eV per cell. Number 2: raw total energy -12.845 eV per cell. Number 3: raw total energy -119.989 eV per cell. Number 4: raw total energy -82.851 eV per cell. Number 5: raw total energy -36.358 eV per cell. Number 6: raw total energy -28.399 eV per cell. Number 7: raw total energy -18.568 eV per cell. Number 8: raw total energy -91.320 eV per cell. Number 9: raw total energy -16.037 eV per cell. Number 10: raw total energy -11.930 eV per cell. Number 11: raw total energy -20.576 eV per cell. Number 12: raw total energy -53.079 eV per cell. Number 13: raw total energy -15.405 eV per cell. Number 14: raw total energy -81.257 eV per cell. Number 15: raw total energy -29.092 eV per cell.